Here is an optimized crystal structure of K4PmHo3Se8 from the Alexandria database. Energies are from PBE-GGA.

Cell lengths 8.4554, 9.1062, 8.4552 Å; angles 117.67, 120.00, 90.00 degrees
Last column: nearest neighbours and their distance in Å.
Positions (direct):
K: 0.5000 0.0000 0.0000  6 Se 3.29
K: 0.5000 0.0000 0.5000  6 Se 3.34
K: 0.0000 0.0000 0.0000  6 Se 3.34
K: 0.0000 0.0000 0.5000  6 Se 3.34
Pm: 0.0000 0.5000 0.0000  6 Se 2.95
Ho: 0.5000 0.5000 0.0000  6 Se 2.89-2.90
Ho: 0.5000 0.5000 0.5000  6 Se 2.89-2.90
Ho: 0.0000 0.5000 0.5000  6 Se 2.89-2.90
Se: 0.2387 0.7063 0.9676  2 Ho 2.89, 1 Pm 2.95
Se: 0.2387 0.7063 0.4774  2 Ho 2.89, 1 Pm 2.95
Se: 0.2655 0.2965 0.5310  3 Ho 2.90
Se: 0.7289 0.7063 0.9676  2 Ho 2.89, 1 Pm 2.95
Se: 0.2711 0.2937 0.0324  2 Ho 2.89, 1 Pm 2.95
Se: 0.7345 0.7035 0.4690  3 Ho 2.90
Se: 0.7613 0.2937 0.5226  2 Ho 2.89, 1 Pm 2.95
Se: 0.7613 0.2937 0.0324  2 Ho 2.89, 1 Pm 2.95

Values from the calculation:
For the uncorrected formation energy, the calculation gives -28.1 eV/f.u. For the calculated total energy, the calculation gives -4.93 eV/atom.

***

Here is an optimized crystal structure of KPmHo4Se8 from the Alexandria database. Energies are from PBE-GGA.

Cell lengths 8.5412, 8.5412, 8.6484 Å; angles 60.41, 60.41, 60.00 degrees
Last column: nearest neighbours and their distance in Å.
Positions (direct):
K: 0.3715 0.3715 0.8854  4 Se 2.94-2.96
Pm: 0.0049 0.0049 0.9852  6 Se 2.87-3.07
Ho: 0.6258 0.6258 0.1226  4 Se 2.77-2.81
Ho: 0.0046 0.4861 0.5047  6 Se 2.78-3.01
Ho: 0.4861 0.0046 0.5047  6 Se 2.78-3.01
Ho: 0.0046 0.0046 0.5047  6 Se 2.78-3.01
Se: 0.2398 0.7942 0.7261  2 Ho 2.78, 1 Pm 2.87, 1 K 2.96
Se: 0.7942 0.2398 0.7261  2 Ho 2.78, 1 Pm 2.87, 1 K 2.96
Se: 0.2398 0.2398 0.7261  2 Ho 2.78, 1 Pm 2.87, 1 K 2.96
Se: 0.2334 0.2334 0.2999  3 Ho 2.78, 1 K 2.94
Se: 0.7538 0.2301 0.2624  3 Ho 2.77-3.00, 1 Pm 3.07
Se: 0.2301 0.7538 0.2624  3 Ho 2.77-3.00, 1 Pm 3.07
Se: 0.7538 0.7538 0.2624  3 Ho 2.77-3.00, 1 Pm 3.07
Se: 0.7576 0.7576 0.7273  4 Ho 2.81-3.01

Values from the calculation:
For the uncorrected formation energy, the calculation gives -24.4 eV/f.u. For the calculated total energy, the calculation gives -5.46 eV/atom.

***

Here is an optimized crystal structure of K3Pm2HoTe6 from the Alexandria database. Energies are from PBE-GGA.

Cell lengths 7.8894, 7.8894, 8.6621 Å; angles 98.73, 98.73, 120.01 degrees
Last column: nearest neighbours and their distance in Å.
Positions (direct):
K: 0.1688 0.8312 0.5000  6 Te 3.53-3.57
K: 0.8312 0.1688 0.5000  6 Te 3.53-3.57
K: 0.5000 0.5000 0.5000  6 Te 3.53-3.59
Pm: 0.3337 0.6663 0.0000  6 Te 3.18
Pm: 0.6663 0.3337 0.0000  6 Te 3.18
Ho: 0.0000 0.0000 0.0000  6 Te 3.11
Te: 0.9297 0.6030 0.7888  1 Ho 3.11, 2 Pm 3.18
Te: 0.7442 0.7442 0.2118  1 Ho 3.11, 2 Pm 3.18
Te: 0.0703 0.3970 0.2112  1 Ho 3.11, 2 Pm 3.18
Te: 0.6030 0.9297 0.7888  1 Ho 3.11, 2 Pm 3.18
Te: 0.2558 0.2558 0.7882  1 Ho 3.11, 2 Pm 3.18
Te: 0.3970 0.0703 0.2112  1 Ho 3.11, 2 Pm 3.18

Values from the calculation:
For the uncorrected formation energy, the calculation gives -16.9 eV/f.u. For the calculated total energy, the calculation gives -4.42 eV/atom.

***

Here is an optimized crystal structure of K4PmHo3Te8 from the Alexandria database. Energies are from PBE-GGA.

Cell lengths 9.0188, 9.7515, 9.0181 Å; angles 117.56, 120.00, 90.00 degrees
Last column: nearest neighbours and their distance in Å.
Positions (direct):
K: 0.5000 0.0000 0.0000  6 Te 3.50
K: 0.5000 0.0000 0.5000  6 Te 3.55
K: 0.0000 0.0000 0.0000  6 Te 3.55
K: 0.0000 0.0000 0.5000  6 Te 3.55
Pm: 0.0000 0.5000 0.0000  6 Te 3.16
Ho: 0.5000 0.5000 0.0000  6 Te 3.11
Ho: 0.5000 0.5000 0.5000  6 Te 3.11
Ho: 0.0000 0.5000 0.5000  6 Te 3.11
Te: 0.2397 0.7097 0.9703  2 Ho 3.11, 1 Pm 3.16
Te: 0.2397 0.7098 0.4793  2 Ho 3.11, 1 Pm 3.16
Te: 0.2643 0.2932 0.5286  3 Ho 3.11
Te: 0.7305 0.7097 0.9703  2 Ho 3.11, 1 Pm 3.16
Te: 0.2695 0.2903 0.0297  2 Ho 3.11, 1 Pm 3.16
Te: 0.7357 0.7068 0.4714  3 Ho 3.11
Te: 0.7603 0.2902 0.5207  2 Ho 3.11, 1 Pm 3.16
Te: 0.7603 0.2903 0.0297  2 Ho 3.11, 1 Pm 3.16

Values from the calculation:
For the uncorrected formation energy, the calculation gives -22.3 eV/f.u. For the calculated total energy, the calculation gives -4.40 eV/atom.

***

Here is an optimized crystal structure of K3PmHo2Te6 from the Alexandria database. Energies are from PBE-GGA.

Cell lengths 7.8249, 7.8249, 8.6493 Å; angles 98.68, 98.68, 120.00 degrees
Last column: nearest neighbours and their distance in Å.
Positions (direct):
K: 0.1649 0.8351 0.5000  6 Te 3.52-3.56
K: 0.8351 0.1649 0.5000  6 Te 3.52-3.56
K: 0.5000 0.5000 0.5000  6 Te 3.50-3.56
Pm: 0.0000 0.0000 0.0000  6 Te 3.17
Ho: 0.3331 0.6669 0.0000  6 Te 3.11
Ho: 0.6669 0.3331 0.0000  6 Te 3.11
Te: 0.9300 0.5900 0.7904  2 Ho 3.11, 1 Pm 3.17
Te: 0.7296 0.7296 0.2092  2 Ho 3.11, 1 Pm 3.17
Te: 0.0700 0.4100 0.2096  2 Ho 3.11, 1 Pm 3.17
Te: 0.5900 0.9300 0.7904  2 Ho 3.11, 1 Pm 3.17
Te: 0.2704 0.2704 0.7908  2 Ho 3.11, 1 Pm 3.17
Te: 0.4100 0.0700 0.2096  2 Ho 3.11, 1 Pm 3.17

Values from the calculation:
For the uncorrected formation energy, the calculation gives -16.8 eV/f.u. For the calculated total energy, the calculation gives -4.40 eV/atom.

***

Here is an optimized crystal structure of KPm2HoTe4 from the Alexandria database. Energies are from PBE-GGA.

Cell lengths 4.4455, 7.8597, 7.8694 Å; angles 71.58, 90.00, 90.00 degrees
Last column: nearest neighbours and their distance in Å.
Positions (direct):
K: 0.5000 0.5000 0.0000  6 Te 3.24-3.27
Pm: 0.0000 0.0000 0.0000  6 Te 3.24-3.25
Pm: 0.5000 0.0000 0.5000  6 Te 3.13-3.14
Ho: 0.0000 0.5000 0.5000  6 Te 3.14-3.15
Te: 0.0000 0.7571 0.7350  3 Pm 3.13-3.24, 1 Ho 3.14, 2 K 3.27
Te: 0.0000 0.2429 0.2650  3 Pm 3.13-3.24, 1 Ho 3.14, 2 K 3.27
Te: 0.5000 0.7462 0.2613  3 Pm 3.14-3.25, 2 Ho 3.15, 1 K 3.24
Te: 0.5000 0.2538 0.7387  3 Pm 3.14-3.25, 2 Ho 3.15, 1 K 3.24

Values from the calculation:
For the uncorrected formation energy, the calculation gives -10.7 eV/f.u. For the calculated total energy, the calculation gives -4.80 eV/atom.

***

Here is an optimized crystal structure of KPm2Ho3Te6 from the Alexandria database. Energies are from PBE-GGA.

Cell lengths 4.3822, 9.0840, 10.0262 Å; angles 104.28, 102.62, 90.00 degrees
Last column: nearest neighbours and their distance in Å.
Positions (direct):
K: 0.5000 0.0000 0.0000  6 Te 3.27-3.30
Pm: 0.8272 0.6503 0.6545  6 Te 3.14-3.29
Pm: 0.1728 0.3497 0.3455  6 Te 3.14-3.29
Ho: 0.5000 0.5000 0.0000  6 Te 3.05-3.07
Ho: 0.8364 0.1752 0.6728  6 Te 3.04-3.16
Ho: 0.1636 0.8248 0.3272  6 Te 3.04-3.16
Te: 0.3258 0.9192 0.6517  3 Ho 3.07-3.16, 2 Pm 3.29, 1 K 3.30
Te: 0.6619 0.5915 0.3239  3 Ho 3.04-3.07, 3 Pm 3.14-3.15
Te: 0.6742 0.0808 0.3483  3 Ho 3.07-3.16, 2 Pm 3.29, 1 K 3.30
Te: 0.0008 0.2676 0.0015  3 Ho 3.05-3.11, 1 Pm 3.26, 2 K 3.27
Te: 0.9992 0.7324 0.9985  3 Ho 3.05-3.11, 1 Pm 3.26, 2 K 3.27
Te: 0.3381 0.4085 0.6761  3 Ho 3.04-3.07, 3 Pm 3.14-3.15

Values from the calculation:
For the uncorrected formation energy, the calculation gives -16.0 eV/f.u. For the calculated total energy, the calculation gives -4.93 eV/atom.

***

Here is an optimized crystal structure of KPr2HoS4 from the Alexandria database. Energies are from PBE-GGA.

Cell lengths 4.0648, 7.1288, 7.1691 Å; angles 71.28, 90.00, 90.00 degrees
Last column: nearest neighbours and their distance in Å.
Positions (direct):
K: 0.5000 0.5000 0.0000  6 S 2.95-2.98
Pr: 0.0000 0.0000 0.0000  6 S 2.99-3.00
Pr: 0.5000 0.0000 0.5000  6 S 2.84-2.87
Ho: 0.0000 0.5000 0.5000  6 S 2.82-2.83
S: 0.0000 0.7544 0.7305  1 Ho 2.82, 3 Pr 2.84-2.99, 2 K 2.98
S: 0.0000 0.2456 0.2695  1 Ho 2.82, 3 Pr 2.84-2.99, 2 K 2.98
S: 0.5000 0.7394 0.2675  2 Ho 2.83, 3 Pr 2.87-3.00, 1 K 2.95
S: 0.5000 0.2606 0.7325  2 Ho 2.83, 3 Pr 2.87-3.00, 1 K 2.95

Values from the calculation:
For the uncorrected formation energy, the calculation gives -14.9 eV/f.u. For the calculated total energy, the calculation gives -5.83 eV/atom.

***

What is the formula in the fourth record?
K4PmHo3Te8

***

Copy entry 1 word for word.
Here is an optimized crystal structure of K4PmHo3Se8 from the Alexandria database. Energies are from PBE-GGA.

Cell lengths 8.4554, 9.1062, 8.4552 Å; angles 117.67, 120.00, 90.00 degrees
Last column: nearest neighbours and their distance in Å.
Positions (direct):
K: 0.5000 0.0000 0.0000  6 Se 3.29
K: 0.5000 0.0000 0.5000  6 Se 3.34
K: 0.0000 0.0000 0.0000  6 Se 3.34
K: 0.0000 0.0000 0.5000  6 Se 3.34
Pm: 0.0000 0.5000 0.0000  6 Se 2.95
Ho: 0.5000 0.5000 0.0000  6 Se 2.89-2.90
Ho: 0.5000 0.5000 0.5000  6 Se 2.89-2.90
Ho: 0.0000 0.5000 0.5000  6 Se 2.89-2.90
Se: 0.2387 0.7063 0.9676  2 Ho 2.89, 1 Pm 2.95
Se: 0.2387 0.7063 0.4774  2 Ho 2.89, 1 Pm 2.95
Se: 0.2655 0.2965 0.5310  3 Ho 2.90
Se: 0.7289 0.7063 0.9676  2 Ho 2.89, 1 Pm 2.95
Se: 0.2711 0.2937 0.0324  2 Ho 2.89, 1 Pm 2.95
Se: 0.7345 0.7035 0.4690  3 Ho 2.90
Se: 0.7613 0.2937 0.5226  2 Ho 2.89, 1 Pm 2.95
Se: 0.7613 0.2937 0.0324  2 Ho 2.89, 1 Pm 2.95

Values from the calculation:
For the uncorrected formation energy, the calculation gives -28.1 eV/f.u. For the calculated total energy, the calculation gives -4.93 eV/atom.

***

calculated total energy of number 7 (KPm2Ho3Te6)?
-4.93 eV/atom

***

Please write out number 1 again, unchanged.
Here is an optimized crystal structure of K4PmHo3Se8 from the Alexandria database. Energies are from PBE-GGA.

Cell lengths 8.4554, 9.1062, 8.4552 Å; angles 117.67, 120.00, 90.00 degrees
Last column: nearest neighbours and their distance in Å.
Positions (direct):
K: 0.5000 0.0000 0.0000  6 Se 3.29
K: 0.5000 0.0000 0.5000  6 Se 3.34
K: 0.0000 0.0000 0.0000  6 Se 3.34
K: 0.0000 0.0000 0.5000  6 Se 3.34
Pm: 0.0000 0.5000 0.0000  6 Se 2.95
Ho: 0.5000 0.5000 0.0000  6 Se 2.89-2.90
Ho: 0.5000 0.5000 0.5000  6 Se 2.89-2.90
Ho: 0.0000 0.5000 0.5000  6 Se 2.89-2.90
Se: 0.2387 0.7063 0.9676  2 Ho 2.89, 1 Pm 2.95
Se: 0.2387 0.7063 0.4774  2 Ho 2.89, 1 Pm 2.95
Se: 0.2655 0.2965 0.5310  3 Ho 2.90
Se: 0.7289 0.7063 0.9676  2 Ho 2.89, 1 Pm 2.95
Se: 0.2711 0.2937 0.0324  2 Ho 2.89, 1 Pm 2.95
Se: 0.7345 0.7035 0.4690  3 Ho 2.90
Se: 0.7613 0.2937 0.5226  2 Ho 2.89, 1 Pm 2.95
Se: 0.7613 0.2937 0.0324  2 Ho 2.89, 1 Pm 2.95

Values from the calculation:
For the uncorrected formation energy, the calculation gives -28.1 eV/f.u. For the calculated total energy, the calculation gives -4.93 eV/atom.